[1]
VASP calculation (PBE-GGA) on crystalline PuThPa2 at its relaxed geometry.

Values from the calculation:
- Energy of formation: 0.097 eV per atom
- Fermi-level density of states: 8.620 states/eV/f.u.
- Energy above the lowest structure with this stoichiometry: 0.0016 eV/atom

a b c (Å): 3.3800 3.3800 9.0663
angles (deg): 90.00 90.00 90.00
Site moments in Bohr magnetons follow the coordinates.
Positions (direct):
Pa  0.0000  0.0000  0.7677  -0.02
Pa  0.0000  0.0000  0.2323  -0.02
Th  0.5000  0.5000  0.5000  -0.04
Pu  0.5000  0.5000  0.0000  4.80

***

[2]
VASP calculation (PBE-GGA) on crystalline Ac2TmAl3Ga12 at its relaxed geometry.

Values from the calculation:
- Energy of formation: -0.135 eV per atom
- Fermi-level density of states: 8.539 states/eV/f.u.

a b c (Å): 10.8894 10.8894 10.8894
angles (deg): 36.43 36.43 36.43
Positions (direct):
Ac  0.6376  0.6376  0.6376
Ac  0.3624  0.3624  0.3624
Tm  0.0000  0.0000  0.0000
Al  0.5000  0.0000  0.0000
Al  0.0000  0.5000  0.0000
Al  0.0000  0.0000  0.5000
Ga  0.4098  0.4098  0.8142
Ga  0.8797  0.8797  0.4384
Ga  0.4384  0.8797  0.8797
Ga  0.8142  0.4098  0.4098
Ga  0.8797  0.4384  0.8797
Ga  0.4098  0.8142  0.4098
Ga  0.5902  0.5902  0.1858
Ga  0.1203  0.1203  0.5616
Ga  0.5616  0.1203  0.1203
Ga  0.1858  0.5902  0.5902
Ga  0.1203  0.5616  0.1203
Ga  0.5902  0.1858  0.5902

***

[3]
VASP calculation (PBE-GGA) on crystalline Na2SiAsS4 at its relaxed geometry.

Values from the calculation:
- Formation energy without anion corrections: -504 kJ/mol of formula units

a b c (Å): 6.1879 6.3919 6.8700
angles (deg): 113.81 126.92 79.37
Site moments in Bohr magnetons follow the coordinates.
Positions (direct):
Na  0.5631  0.9852  0.0579  0.00
Na  0.2751  0.3017  0.5691  0.01
Si  0.7197  0.7150  0.4430  0.01
As  0.0805  0.4995  0.9560  0.33
S  0.6766  0.6332  0.7040  0.01
S  0.7470  0.4150  0.1790  0.06
S  0.3253  0.8525  0.2403  0.06
S  0.9996  0.9850  0.6248  0.01

***

[4]
VASP calculation (PBE-GGA) on crystalline CaMnPb at its relaxed geometry.

Values from the calculation:
- Energy of formation: 0.160 eV per atom
- Fermi-level density of states: 3.733 states/eV/f.u.

a b c (Å): 6.0853 6.0853 6.0853
angles (deg): 146.43 141.48 52.00
Site moments in Bohr magnetons follow the coordinates.
Positions (direct):
Pb  0.3063  0.3063  0.0000  -0.08
Ca  0.0028  0.0028  0.0000  -0.05
Mn  0.6909  0.6909  0.0000  3.75

***

[5]
VASP calculation (PBE-GGA) on crystalline HgSb3F at its relaxed geometry.

Values from the calculation:
- Fermi-level density of states: 4.356 states/eV/f.u.
- Energy above the lowest structure with this stoichiometry: 0.0000 eV/atom
- Formation energy without anion corrections: 12 kJ/mol of formula units

a b c (Å): 5.0181 5.0181 5.0181
angles (deg): 90.00 90.00 90.00
Positions (direct):
Sb  0.0000  0.5000  0.0000
Sb  0.0000  0.0000  0.5000
Sb  0.5000  0.0000  0.0000
Hg  0.5000  0.5000  0.5000
F  0.0000  0.0000  0.0000

***

[6]
VASP calculation (PBE-GGA) on crystalline RbLiBiO3 at its relaxed geometry.

Values from the calculation:
- Fermi-level density of states: 2.323 states/eV/f.u.
- Formation energy without anion corrections: -803 kJ/mol of formula units

a b c (Å): 3.5308 6.5882 8.9366
angles (deg): 90.00 90.00 105.54
Positions (direct):
Rb  0.7298  0.4596  0.7500
Rb  0.2702  0.5404  0.2500
Li  0.4548  0.9095  0.7500
Li  0.5452  0.0905  0.2500
Bi  0.0000  0.0000  0.5000
Bi  0.0000  0.0000  0.0000
O  0.6099  0.2199  0.4471
O  0.3901  0.7801  0.5529
O  0.3901  0.7801  0.9471
O  0.6099  0.2199  0.0529
O  0.0327  0.0653  0.7500
O  0.9673  0.9347  0.2500

***

[7]
VASP calculation (PBE-GGA) on crystalline Te2AsP at its relaxed geometry.

Values from the calculation:
- Fermi-level density of states: 1.926 states/eV/f.u.
- Energy above the lowest structure with this stoichiometry: 0.0590 eV/atom
- Formation energy without anion corrections: 75 kJ/mol of formula units

a b c (Å): 7.2001 7.2001 7.2001
angles (deg): 32.93 32.93 32.93
Positions (direct):
As  0.4886  0.4886  0.4886
P  0.7578  0.7578  0.7578
Te  0.0122  0.0122  0.0122
Te  0.2414  0.2414  0.2414

***

| no. | electronic total energy (eV/atom) | spin magnetization (μB per formula unit) |
| --- | --- | --- |
| 1 | -10.0890 | 4.78 |
| 2 | -3.4818 | 0.00 |
| 3 | -4.3053 | 1.00 |
| 4 | -4.8003 | 3.70 |
| 5 | -2.8841 | 0.00 |
| 6 | -4.9931 | 0.00 |
| 7 | -3.8906 | 0.00 |